A geometry-optimized InFeCuTeS2 structure, computed with PBE.

Values from the calculation:
E_tot in eV per formula unit: -26.92

a b c (Å): 7.458 7.458 9.917
angles (deg): 90.00 90.00 153.26
Fractional coordinates of all 12 atoms:
In (0.226, 0.774, 0.750)
In (0.774, 0.226, 0.250)
Fe (0.000, 0.000, 0.000)
Fe (0.000, 0.000, 0.500)
Cu (0.435, 0.565, 0.250)
Cu (0.565, 0.435, 0.750)
Te (0.076, 0.924, 0.250)
Te (0.924, 0.076, 0.750)
S (0.397, 0.603, 0.032)
S (0.397, 0.603, 0.468)
S (0.603, 0.397, 0.532)
S (0.603, 0.397, 0.968)